First-principles (PBE with a Hubbard U) data for crystalline RbCrF2 at its relaxed geometry, as listed in Alexandria via LeMat-Bulk.

a b c (Å): 3.764 3.764 21.155
angles (deg): 90.00 90.00 120.00
Element x y z (fractional)
Rb (0.000, 0.000, 0.000)
Rb (0.333, 0.667, 0.667)
Rb (0.667, 0.333, 0.333)
Cr (0.000, 0.000, 0.500)
Cr (0.333, 0.667, 0.167)
Cr (0.667, 0.333, 0.833)
F (0.000, 0.000, 0.123)
F (0.000, 0.000, 0.877)
F (0.333, 0.667, 0.544)
F (0.333, 0.667, 0.790)
F (0.667, 0.333, 0.210)
F (0.667, 0.333, 0.456)

## Properties
**Size of the total moment**: 4.6 μB per formula unit
**D(E_F)**: 0.879 states/eV/atom
**Total DFT energy (no corrections)**: -0.34863 Ry per atom
**E above lowest polymorph**: 366 meV/atom